1.
# ScCd2Tc

A relaxed structure of ScCd2Tc (GGA-PBE, Alexandria).

For the excess energy over the best structure of this formula in the dataset, the calculation gives 112 meV/atom. As for the total moment: 0.7 μB/f.u.

The structure belongs to space group I-4m2 (No. 119); the cell edges are 4.199, 4.199 and 8.602 Å and the angles 90.00°, 90.00° and 90.00°. Symmetry generates all atoms from Sc at (0.000, 0.000, 0.000), Cd at (0.000, 0.000, 0.500), Cd at (0.000, 0.500, 0.250) and Tc at (0.000, 0.500, 0.750).

---

2.
# ScCdTc2

A relaxed structure of ScCdTc2 (GGA-PBE, Alexandria).

As for the total moment: 0.0 μB/f.u.

The structure belongs to space group Cmmm (No. 65); the cell edges are 3.235, 4.572 and 9.244 Å and the angles 90.00°, 90.00° and 90.00°. Symmetry generates all atoms from Sc at (0.000, 0.000, 0.000), Cd at (0.000, 0.000, 0.500) and Tc at (0.000, 0.500, 0.242).

---

3.
# ScCd2Tc

A relaxed structure of ScCd2Tc (GGA-PBE, Alexandria).

For the excess energy over the best structure of this formula in the dataset, the calculation gives 109 meV/atom. As for the total moment: 0.0 μB/f.u.

The structure belongs to space group Imm2 (No. 44); the cell edges are 3.503, 4.746 and 9.217 Å and the angles 90.00°, 90.00° and 90.00°. Symmetry generates all atoms from Sc at (0.000, 0.000, 0.000), Cd at (0.000, 0.000, 0.468), Cd at (0.000, 0.500, 0.225) and Tc at (0.000, 0.500, 0.722).

---

4.
# ScCd4Tc

A relaxed structure of ScCd4Tc (GGA-PBE, Alexandria).

As for the total moment: 1.6 μB/f.u.

The structure belongs to space group F-43m (No. 216); the cell edges are 7.858, 7.858 and 7.858 Å and the angles 90.00°, 90.00° and 90.00°. Symmetry generates all atoms from Sc at (0.000, 0.000, 0.000), Cd at (0.125, 0.125, 0.375) and Tc at (0.250, 0.250, 0.750).

---

5.
# ScCd2Tc

A relaxed structure of ScCd2Tc (GGA-PBE, Alexandria).

For the excess energy over the best structure of this formula in the dataset, the calculation gives 324 meV/atom. As for the total moment: 0.0 μB/f.u.

The structure belongs to space group R-3m (No. 166, hexagonal axes); the cell edges are 2.9758, 2.9758 and 30.2613 Å and the angles 90.00°, 90.00° and 120.00°. Symmetry generates all atoms from Sc at (0.0000, 0.0000, 0.0000), Cd at (0.0000, 0.0000, 0.2448) and Tc at (0.0000, 0.0000, 0.5000).

---

6.
# ScCdTc2

A relaxed structure of ScCdTc2 (GGA-PBE, Alexandria).

As for the total moment: 0.5 μB/f.u.

The structure belongs to space group R-3m (No. 166, hexagonal axes); the cell edges are 2.9276, 2.9276 and 28.0714 Å and the angles 90.00°, 90.00° and 120.00°. Symmetry generates all atoms from Sc at (0.0000, 0.0000, 0.0000), Cd at (0.0000, 0.0000, 0.5000) and Tc at (0.0000, 0.0000, 0.2523).

---

7.
# ScCdTc2

A relaxed structure of ScCdTc2 (GGA-PBE, Alexandria).

As for the total moment: 0.0 μB/f.u.

The structure belongs to space group I-4m2 (No. 119); the cell edges are 4.574, 4.574 and 6.501 Å and the angles 90.00°, 90.00° and 90.00°. Symmetry generates all atoms from Sc at (0.000, 0.000, 0.000), Cd at (0.000, 0.500, 0.250), Tc at (0.000, 0.000, 0.500) and Tc at (0.000, 0.500, 0.750).

---

8.
# Sc4Cd3Tc

A relaxed structure of Sc4Cd3Tc (GGA-PBE, Alexandria).

As for the total moment: 0.2 μB/f.u.

The structure belongs to space group P4/mmm (No. 123); the cell edges are 3.358, 3.358 and 14.806 Å and the angles 90.00°, 90.00° and 90.00°. Symmetry generates all atoms from Sc at (0.000, 0.000, 0.101), Sc at (0.000, 0.000, 0.368), Cd at (0.500, 0.500, 0.237), Cd at (0.500, 0.500, 0.500) and Tc at (0.500, 0.500, 0.000).

---

9.
# ScCd2Tc

A relaxed structure of ScCd2Tc (GGA-PBE, Alexandria).

For the excess energy over the best structure of this formula in the dataset, the calculation gives 70 meV/atom. As for the total moment: 0.0 μB/f.u.

The structure belongs to space group P4mm (No. 99); the cell edges are 3.432, 3.432 and 6.614 Å and the angles 90.00°, 90.00° and 90.00°. Symmetry generates all atoms from Sc at (0.000, 0.000, 0.000), Cd at (0.000, 0.000, 0.444), Cd at (0.500, 0.500, 0.711) and Tc at (0.500, 0.500, 0.191).

---

10.
# ScCd2Tc

A relaxed structure of ScCd2Tc (GGA-PBE, Alexandria).

For the excess energy over the best structure of this formula in the dataset, the calculation gives 158 meV/atom. As for the total moment: 0.0 μB/f.u.

The structure belongs to space group P4/mmm (No. 123); the cell edges are 3.663, 3.663 and 5.706 Å and the angles 90.00°, 90.00° and 90.00°. Symmetry generates all atoms from Sc at (0.000, 0.000, 0.000), Cd at (0.500, 0.500, 0.261) and Tc at (0.000, 0.000, 0.500).

---

11.
# ScCdTc2

A relaxed structure of ScCdTc2 (GGA-PBE, Alexandria).

As for the total moment: 0.0 μB/f.u.

The structure belongs to space group I-42d (No. 122); the cell edges are 7.386, 7.386 and 5.431 Å and the angles 90.00°, 90.00° and 90.00°. Symmetry generates all atoms from Sc at (0.000, 0.000, 0.000), Cd at (0.000, 0.000, 0.500) and Tc at (0.248, 0.250, 0.125).

---

12.
# Sc8Cd2Tc

A relaxed structure of Sc8Cd2Tc (GGA-PBE, Alexandria).

As for the total moment: 0.0 μB/f.u.

The structure belongs to space group Immm (No. 71); the cell edges are 5.087, 6.556 and 14.935 Å and the angles 90.00°, 90.00° and 90.00°. Symmetry generates all atoms from Sc at (0.000, 0.000, 0.188), Sc at (0.000, 0.240, 0.000), Sc at (0.000, 0.240, 0.372), Cd at (0.000, 0.500, 0.186) and Tc at (0.000, 0.500, 0.500).

---

no.,energy (eV/atom),energy relative to the elements (eV per atom)
1,-4.54,0.09
2,-6.74,0.25
3,-4.54,0.09
4,-3.16,0.23
5,-4.33,0.30
6,-6.64,0.35
7,-6.90,0.10
8,-5.10,-0.30
9,-4.58,0.05
10,-4.49,0.14
11,-6.25,0.74
12,-5.86,-0.15